Record 1
Here is a relaxed structure of Li2ErGa4 from Alexandria. Energies are from PBE-GGA.

For the energy relative to the elements, the calculation gives 0.3358 eV per atom. The distance to the lowest polymorph of the same formula is 0.7129 eV per atom.

```
data_Li2ErGa4
_symmetry_space_group_name_H-M 'I 4/m m m'
_symmetry_Int_Tables_number 139
_symmetry_space_group_name_Hall '-I 4 2'
_cell_length_a 5.3370
_cell_length_b 5.3370
_cell_length_c 13.7225
_cell_angle_alpha 90.00
_cell_angle_beta 90.00
_cell_angle_gamma 90.00
loop_
_atom_site_label
_atom_site_fract_x
_atom_site_fract_y
_atom_site_fract_z
Li1 0.0000 0.0000 0.0940
Er1 0.0000 0.0000 0.5000
Ga1 0.0000 0.0000 0.2893
Ga2 0.0000 0.5000 0.0000
```



Record 2
Here is a relaxed structure of Au2Br from Alexandria. Energies are from PBE-GGA.

The uncorrected formation energy is 0.063 eV per atom. The distance to the lowest polymorph of the same formula is 0.0401 eV per atom.

```
data_Au2Br
_symmetry_space_group_name_H-M 'C 1 m 1'
_symmetry_Int_Tables_number 8
_cell_length_a 7.7627
_cell_length_b 4.5919
_cell_length_c 9.5965
_cell_angle_alpha 90.00
_cell_angle_beta 104.34
_cell_angle_gamma 90.00
loop_
_symmetry_equiv_pos_as_xyz
'x,y,z'
'x,-y,z'
'x+1/2,y+1/2,z'
'x+1/2,-y+1/2,z'
loop_
_atom_site_label
_atom_site_fract_x
_atom_site_fract_y
_atom_site_fract_z
Au1 0.0000 0.0000 0.0000
Au2 0.1121 0.5000 0.8857
Au3 0.2264 0.5000 0.1974
Au4 0.3661 0.0000 0.0804
Br1 0.0196 0.0000 0.3778
Br2 0.2856 0.5000 0.6975
```



Record 3
Here is a relaxed structure of TaRhBr4 from Alexandria. Energies are from PBE-GGA.

The uncorrected formation energy is 1.591 eV per atom.

```
data_TaRhBr4
_symmetry_space_group_name_H-M 'F -4 3 m'
_symmetry_Int_Tables_number 216
_symmetry_space_group_name_Hall 'F -4 2 3'
_cell_length_a 8.3773
_cell_length_b 8.3773
_cell_length_c 8.3773
_cell_angle_alpha 90.00
_cell_angle_beta 90.00
_cell_angle_gamma 90.00
loop_
_atom_site_label
_atom_site_fract_x
_atom_site_fract_y
_atom_site_fract_z
Ta1 0.0000 0.0000 0.0000
Rh1 0.2500 0.2500 0.2500
Br1 0.1249 0.1249 0.6249
```



Record 4
Here is a relaxed structure of Pu2InIr from Alexandria. Energies are from PBE-GGA.

For the energy relative to the elements, the calculation gives -0.1930 eV per atom. The distance to the lowest polymorph of the same formula is 0.1533 eV per atom.

```
data_Pu2InIr
_symmetry_space_group_name_H-M 'P 4/m m m'
_symmetry_Int_Tables_number 123
_symmetry_space_group_name_Hall '-P 4 2'
_cell_length_a 4.3899
_cell_length_b 4.3899
_cell_length_c 4.4945
_cell_angle_alpha 90.00
_cell_angle_beta 90.00
_cell_angle_gamma 90.00
loop_
_atom_site_label
_atom_site_fract_x
_atom_site_fract_y
_atom_site_fract_z
Pu1 0.0000 0.5000 0.0000
In1 0.0000 0.0000 0.5000
Ir1 0.5000 0.5000 0.5000
```



Record 5
Here is a relaxed structure of Tb8Pm4Nd3 from Alexandria. Energies are from PBE-GGA.

For the energy relative to the elements, the calculation gives 0.3566 eV per atom.

```
data_Tb8Pm4Nd3
_symmetry_space_group_name_H-M 'C 1 2/m 1'
_symmetry_Int_Tables_number 12
_cell_length_a 13.5426
_cell_length_b 12.9032
_cell_length_c 6.8364
_cell_angle_alpha 90.00
_cell_angle_beta 120.29
_cell_angle_gamma 90.00
loop_
_symmetry_equiv_pos_as_xyz
'x,y,z'
'-x,-y,-z'
'-x,y,-z'
'x,-y,z'
'x+1/2,y+1/2,z'
'-x+1/2,-y+1/2,-z'
'-x+1/2,y+1/2,-z'
'x+1/2,-y+1/2,z'
loop_
_atom_site_label
_atom_site_fract_x
_atom_site_fract_y
_atom_site_fract_z
Tb1 0.0000 0.1411 0.0000
Tb2 0.0000 0.2437 0.5000
Tb3 0.2324 0.0000 0.9951
Tb4 0.2333 0.0000 0.4729
Pm1 0.0000 0.5000 0.0000
Pm2 0.0000 0.5000 0.5000
Pm3 0.2500 0.2500 0.5000
Nd1 0.0000 0.0000 0.5000
Nd2 0.2500 0.2500 0.0000
```



Record 6
Here is a relaxed structure of AcAgBi2 from Alexandria. Energies are from PBE-GGA.

For the energy relative to the elements, the calculation gives -0.2092 eV per atom. The distance to the lowest polymorph of the same formula is 0.3512 eV per atom.

```
data_AcAgBi2
_symmetry_space_group_name_H-M 'P 4/m m m'
_symmetry_Int_Tables_number 123
_symmetry_space_group_name_Hall '-P 4 2'
_cell_length_a 4.2660
_cell_length_b 4.2660
_cell_length_c 6.9458
_cell_angle_alpha 90.00
_cell_angle_beta 90.00
_cell_angle_gamma 90.00
loop_
_atom_site_label
_atom_site_fract_x
_atom_site_fract_y
_atom_site_fract_z
Ac1 0.0000 0.0000 0.0000
Ag1 0.0000 0.0000 0.5000
Bi1 0.5000 0.5000 0.2747
```



Record 7
Here is a relaxed structure of CaZn3Ag from Alexandria. Energies are from PBE-GGA.

For the energy relative to the elements, the calculation gives 0.0807 eV per atom. The distance to the lowest polymorph of the same formula is 0.2814 eV per atom.

```
data_CaZn3Ag
_symmetry_space_group_name_H-M 'P m -3 m'
_symmetry_Int_Tables_number 221
_symmetry_space_group_name_Hall '-P 4 2 3'
_cell_length_a 4.9081
_cell_length_b 4.9081
_cell_length_c 4.9081
_cell_angle_alpha 90.00
_cell_angle_beta 90.00
_cell_angle_gamma 90.00
loop_
_atom_site_label
_atom_site_fract_x
_atom_site_fract_y
_atom_site_fract_z
Ca1 0.0000 0.0000 0.0000
Zn1 0.0000 0.5000 0.5000
Ag1 0.5000 0.5000 0.5000
```



Record 8
Here is a relaxed structure of Ac2ReGe5 from Alexandria. Energies are from PBE-GGA.

For the energy relative to the elements, the calculation gives -0.2887 eV per atom.

```
data_Ac2ReGe5
_symmetry_space_group_name_H-M 'I 4 m m'
_symmetry_Int_Tables_number 107
_symmetry_space_group_name_Hall 'I 4 -2'
_cell_length_a 6.2754
_cell_length_b 6.2754
_cell_length_c 9.6877
_cell_angle_alpha 90.00
_cell_angle_beta 90.00
_cell_angle_gamma 90.00
loop_
_atom_site_label
_atom_site_fract_x
_atom_site_fract_y
_atom_site_fract_z
Ac1 0.0000 0.5000 0.0000
Re1 0.0000 0.0000 0.2047
Ge1 0.0000 0.0000 0.9505
Ge2 0.2153 0.2153 0.7468
```



Record 9
Here is a relaxed structure of CsGa2Au7 from Alexandria. Energies are from PBE-GGA.

For the energy relative to the elements, the calculation gives -0.0544 eV per atom.

```
data_CsGa2Au7
_symmetry_space_group_name_H-M 'C m m m'
_symmetry_Int_Tables_number 65
_symmetry_space_group_name_Hall '-C 2 2'
_cell_length_a 7.7581
_cell_length_b 12.3393
_cell_length_c 5.1380
_cell_angle_alpha 90.00
_cell_angle_beta 90.00
_cell_angle_gamma 90.00
loop_
_atom_site_label
_atom_site_fract_x
_atom_site_fract_y
_atom_site_fract_z
Cs1 0.0000 0.0000 0.0000
Ga1 0.0000 0.2896 0.5000
Au1 0.0000 0.3791 0.0000
Au2 0.0000 0.5000 0.5000
Au3 0.1921 0.1225 0.5000
```



Record 10
Here is a relaxed structure of InSnAu2 from Alexandria. Energies are from PBE-GGA.

For the energy relative to the elements, the calculation gives -0.1914 eV per atom.

```
data_InSnAu2
_symmetry_space_group_name_H-M 'P 1 m 1'
_symmetry_Int_Tables_number 6
_cell_length_a 3.8848
_cell_length_b 4.2196
_cell_length_c 5.7309
_cell_angle_alpha 90.00
_cell_angle_beta 109.06
_cell_angle_gamma 90.00
loop_
_symmetry_equiv_pos_as_xyz
'x,y,z'
'x,-y,z'
loop_
_atom_site_label
_atom_site_fract_x
_atom_site_fract_y
_atom_site_fract_z
In1 0.0000 0.0000 0.0000
Sn1 0.2970 0.5000 0.5748
Au1 0.5438 0.5000 0.0990
Au2 0.7530 0.0000 0.4725
```



Record 11
Here is a relaxed structure of BaTc2Pt from Alexandria. Energies are from PBE-GGA.

For the energy relative to the elements, the calculation gives 0.9149 eV per atom. The distance to the lowest polymorph of the same formula is 0.7202 eV per atom.

```
data_BaTc2Pt
_symmetry_space_group_name_H-M 'I -4 m 2'
_symmetry_Int_Tables_number 119
_symmetry_space_group_name_Hall 'I -4 -2'
_cell_length_a 4.7364
_cell_length_b 4.7364
_cell_length_c 7.0265
_cell_angle_alpha 90.00
_cell_angle_beta 90.00
_cell_angle_gamma 90.00
loop_
_atom_site_label
_atom_site_fract_x
_atom_site_fract_y
_atom_site_fract_z
Ba1 0.0000 0.0000 0.0000
Tc1 0.0000 0.0000 0.5000
Tc2 0.0000 0.5000 0.2500
Pt1 0.0000 0.5000 0.7500
```



Record 12
Here is a relaxed structure of Ba2MnCrN4 from Alexandria. Energies are from PBE-GGA.

The uncorrected formation energy is -0.580 eV per atom.

```
data_Ba2MnCrN4
_symmetry_space_group_name_H-M 'P m m n'
_symmetry_Int_Tables_number 59
_cell_length_a 5.8235
_cell_length_b 6.7727
_cell_length_c 6.4497
_cell_angle_alpha 90.00
_cell_angle_beta 90.00
_cell_angle_gamma 90.00
loop_
_symmetry_equiv_pos_as_xyz
'x,y,z'
'-x,-y,-z'
'-x+1/2,-y+1/2,z'
'x+1/2,y+1/2,-z'
'x+1/2,-y,-z'
'-x+1/2,y,z'
'-x,y+1/2,-z'
'x,-y+1/2,z'
loop_
_atom_site_label
_atom_site_fract_x
_atom_site_fract_y
_atom_site_fract_z
Ba1 0.2500 0.0006 0.2284
Mn1 0.2500 0.2500 0.6671
Cr1 0.2500 0.7500 0.6619
N1 0.0013 0.7500 0.4964
N2 0.2500 0.5021 0.7918
```